# La3Mg2Pb | Alexandria | PBE-GGA | optimized geometry
# Fermi-level density of states	12.5	states/eV/cell
data_La3Mg2Pb
_chemical_formula_sum 'La6 Mg4 Pb2'
_space_group_name_H-M_alt 'C m m m'
_space_group_IT_number 65
_space_group_name_Hall '-C 2 2'
_cell_length_a 5.334
_cell_length_b 16.043
_cell_length_c 4.397
_cell_angle_alpha 90.00
_cell_angle_beta 90.00
_cell_angle_gamma 90.00
loop_
_atom_site_label
_atom_site_fract_x
_atom_site_fract_y
_atom_site_fract_z
La1 0.000 0.000 0.000
La2 0.000 0.336 0.000
Mg1 0.000 0.174 0.500
Pb1 0.000 0.500 0.500

# La2MgPb2 | Alexandria | PBE-GGA | optimized geometry
# Fermi-level density of states	10.5	states/eV/cell
data_La2MgPb2
_chemical_formula_sum 'La4 Mg2 Pb4'
_space_group_name_H-M_alt 'I m m m'
_space_group_IT_number 71
_space_group_name_Hall '-I 2 2'
_cell_length_a 4.763
_cell_length_b 6.750
_cell_length_c 9.826
_cell_angle_alpha 90.00
_cell_angle_beta 90.00
_cell_angle_gamma 90.00
loop_
_atom_site_label
_atom_site_fract_x
_atom_site_fract_y
_atom_site_fract_z
La1 0.000 0.000 0.202
Mg1 0.000 0.500 0.000
Pb1 0.000 0.267 0.500

For reference, V by record: 376.2; 315.9 Å³ per cell.
For reference, E_tot by record: -46.8; -42.4 eV/cell.
For reference, formation energy from the elements by record: -0.290; -0.466 eV per atom.